VASP calculation (PBE) on a geometry-optimized TaFe2Os2 structure.

The volume is 136 Å³ per cell. The electronic total energy is -102.1 eV per cell.

The structure belongs to space group P4/mbm (No. 127); the cell edges are 7.0683, 7.0683 and 2.7287 Å and the angles 90.00°, 90.00° and 90.00°. The asymmetric unit holds Ta at (0.0000, 0.0000, 0.0000), Fe at (0.1196, 0.3804, 0.0000) and Os at (0.1749, 0.6749, 0.5000).

=====

VASP calculation (PBE) on a geometry-optimized KHg2Se2 structure.

The volume is 285 Å³ per cell. Its uncorrected formation energy is -8.21 kcal/mol of atoms.

The structure belongs to space group I4/mmm (No. 139); the cell edges are 5.2123, 5.2123 and 10.5036 Å and the angles 90.00°, 90.00° and 90.00°. The asymmetric unit holds K at (0.0000, 0.0000, 0.0000), Hg at (0.0000, 0.0000, 0.3682) and Se at (0.0000, 0.5000, 0.2500).

=====

VASP calculation (PBE) on a geometry-optimized Ta2MoSe structure.

The volume is 70 Å³ per cell. Its uncorrected formation energy is -0.51 kcal/mol of atoms.

The structure belongs to space group P4/mmm (No. 123); the cell edges are 3.3100, 3.3100 and 6.3462 Å and the angles 90.00°, 90.00° and 90.00°. The asymmetric unit holds Ta at (0.0000, 0.0000, 0.2345), Mo at (0.5000, 0.5000, 0.0000) and Se at (0.5000, 0.5000, 0.5000).

=====

VASP calculation (PBE) on a geometry-optimized Ca2CuAu structure.

The volume is 185 Å³ per cell. The electronic total energy is -25.0 eV per cell.

The structure belongs to space group I-4m2 (No. 119); the cell edges are 4.3368, 4.3368 and 9.8576 Å and the angles 90.00°, 90.00° and 90.00°. The asymmetric unit holds Ca at (0.0000, 0.0000, 0.0000), Ca at (0.0000, 0.5000, 0.2500), Cu at (0.0000, 0.5000, 0.7500) and Au at (0.0000, 0.0000, 0.5000).

=====

| no. | density (Mg/m³) |
| --- | --- |
| 1 | 16.4 |
| 2 | 7.0 |
| 3 | 12.8 |
| 4 | 6.1 |